No. 1
The following is a GGA-PBE calculation of LaReBr2 after structural relaxation, from Alexandria via LeMat-Bulk.

The spin magnetization is 0.191 μB/f.u. As for the energy: -5.18 eV per atom. The excess energy over the best structure of this formula in the dataset is 270 meV per atom. The density of states at the Fermi level comes out at 1.152 states/eV per atom. The formation energy from raw total energies is -4 meV per atom.

The structure belongs to space group Imm2 (No. 44); the cell edges are 3.421, 4.321 and 14.649 Å and the angles 90.00°, 90.00° and 90.00°. The distinct sites, in fractional coordinates, are La at (0.000, 0.000, 0.000), Re at (0.000, 0.500, 0.657), Br at (0.000, 0.000, 0.392) and Br at (0.000, 0.500, 0.156).



No. 2
The following is a GGA-PBE calculation of Tb4Cd2O after structural relaxation, from Alexandria via LeMat-Bulk.

The spin magnetization is 0.000 μB/f.u. As for the energy: -4.55 eV per atom. The density of states at the Fermi level comes out at 0.293 states/eV per atom. The formation energy from raw total energies is -930 meV per atom.

The structure belongs to space group I4/mmm (No. 139); the cell edges are 4.775, 4.775 and 15.364 Å and the angles 90.00°, 90.00° and 90.00°. The distinct sites, in fractional coordinates, are Tb at (0.000, 0.000, 0.173), Tb at (0.000, 0.500, 0.000), Cd at (0.000, 0.000, 0.368) and O at (0.000, 0.000, 0.000).



No. 3
The following is a GGA-PBE calculation of MnRu2Rh after structural relaxation, from Alexandria via LeMat-Bulk.

The spin magnetization is 2.421 μB/f.u. As for the energy: -8.74 eV per atom. The density of states at the Fermi level comes out at 1.234 states/eV per atom. The value obtained for the energy relative to the elements is 0.029 eV per atom.

The structure belongs to space group Pmm2 (No. 25); the cell edges are 2.713, 3.757 and 5.373 Å and the angles 90.00°, 90.00° and 90.00°. The distinct sites, in fractional coordinates, are Mn at (0.000, 0.000, 0.000), Ru at (0.000, 0.000, 0.511), Ru at (0.500, 0.500, 0.746) and Rh at (0.500, 0.500, 0.242).



No. 4
The following is a GGA-PBE calculation of Na2SrHg after structural relaxation, from Alexandria via LeMat-Bulk.

The spin magnetization is 0.000 μB/f.u. As for the energy: -1.27 eV per atom. The density of states at the Fermi level comes out at 0.585 states/eV per atom. The value obtained for the energy relative to the elements is -0.111 eV per atom.

The structure belongs to space group P4/mmm (No. 123); the cell edges are 4.176, 4.176 and 7.928 Å and the angles 90.00°, 90.00° and 90.00°. The distinct sites, in fractional coordinates, are Na at (0.000, 0.000, 0.196), Sr at (0.500, 0.500, 0.500) and Hg at (0.500, 0.500, 0.000).



No. 5
The following is a GGA-PBE calculation of Nb3VPb after structural relaxation, from Alexandria via LeMat-Bulk.

The spin magnetization is 0.000 μB/f.u. As for the energy: -7.78 eV per atom. The excess energy over the best structure of this formula in the dataset is 0 meV per atom. The density of states at the Fermi level comes out at 0.764 states/eV per atom. The value obtained for the energy relative to the elements is 0.824 eV per atom.

The structure belongs to space group Pm-3m (No. 221); the cell edges are 4.713, 4.713 and 4.713 Å and the angles 90.00°, 90.00° and 90.00°. The distinct sites, in fractional coordinates, are Nb at (0.000, 0.000, 0.500), V at (0.000, 0.000, 0.000) and Pb at (0.500, 0.500, 0.500).



No. 6
The following is a GGA-PBE calculation of PmMnSe3 after structural relaxation, from Alexandria via LeMat-Bulk.

The spin magnetization is 4.000 μB/f.u. As for the energy: -5.89 eV per atom. The excess energy over the best structure of this formula in the dataset is 96 meV per atom. The density of states at the Fermi level comes out at 0.289 states/eV per atom. The formation energy from raw total energies is -1012 meV per atom.

The structure belongs to space group C2/m (No. 12); the cell edges are 18.022, 4.739 and 7.425 Å and the angles 90.00°, 102.64° and 90.00°. The distinct sites, in fractional coordinates, are Pm at (0.167, 0.000, 0.123), Mn at (0.161, 0.500, 0.522), Se at (0.079, 0.500, 0.219), Se at (0.168, 0.500, 0.861) and Se at (0.197, 0.000, 0.531).



No. 7
The following is a GGA-PBE calculation of RbIN2O after structural relaxation, from Alexandria via LeMat-Bulk.

The spin magnetization is 5.866 μB/f.u. As for the energy: -2.65 eV per atom. The density of states at the Fermi level comes out at 1.968 states/eV per atom. The formation energy from raw total energies is 2171 meV per atom.

The structure belongs to space group P4/mmm (No. 123); the cell edges are 5.822, 5.822 and 5.048 Å and the angles 90.00°, 90.00° and 90.00°. The distinct sites, in fractional coordinates, are Rb at (0.000, 0.000, 0.000), I at (0.500, 0.500, 0.500), N at (0.000, 0.500, 0.000) and O at (0.000, 0.000, 0.500).



No. 8
The following is a GGA-PBE calculation of Mg2FePd after structural relaxation, from Alexandria via LeMat-Bulk.

The spin magnetization is 2.576 μB/f.u. As for the energy: -4.03 eV per atom. The density of states at the Fermi level comes out at 0.676 states/eV per atom. The value obtained for the energy relative to the elements is 0.182 eV per atom.

The structure belongs to space group I-42d (No. 122); the cell edges are 7.118, 7.118 and 5.507 Å and the angles 90.00°, 90.00° and 90.00°. The distinct sites, in fractional coordinates, are Mg at (0.243, 0.250, 0.125), Fe at (0.000, 0.000, 0.500) and Pd at (0.000, 0.000, 0.000).



No. 9
The following is a GGA-PBE calculation of BaHg2Sb2 after structural relaxation, from Alexandria via LeMat-Bulk.

The spin magnetization is 0.000 μB/f.u. As for the energy: -2.52 eV per atom. The density of states at the Fermi level comes out at 0.394 states/eV per atom. The formation energy from raw total energies is -361 meV per atom.

The structure belongs to space group I4/mmm (No. 139); the cell edges are 4.887, 4.887 and 13.431 Å and the angles 90.00°, 90.00° and 90.00°. The distinct sites, in fractional coordinates, are Ba at (0.000, 0.000, 0.000), Hg at (0.000, 0.500, 0.250) and Sb at (0.000, 0.000, 0.385).



No. 10
The following is a GGA-PBE calculation of YEr4MgS8 after structural relaxation, from Alexandria via LeMat-Bulk.

The spin magnetization is 0.000 μB/f.u. As for the energy: -6.16 eV per atom. The density of states at the Fermi level comes out at 0.230 states/eV per atom. The formation energy from raw total energies is -1921 meV per atom.

The structure belongs to space group R3m (No. 160, hexagonal axes); the cell edges are 7.9204, 7.9204 and 19.4238 Å and the angles 90.00°, 90.00° and 120.00°. The distinct sites, in fractional coordinates, are Y at (0.0000, 0.0000, 0.0000), Er at (0.0000, 0.0000, 0.6226), Er at (0.1702, 0.3405, 0.8298), Mg at (0.0000, 0.0000, 0.3725), S at (0.0000, 0.0000, 0.2431), S at (0.0000, 0.0000, 0.7559), S at (0.0099, 0.5049, 0.7497) and S at (0.1768, 0.3536, 0.5771).



No. 11
The following is a GGA-PBE calculation of La2Pr5 after structural relaxation, from Alexandria via LeMat-Bulk.

The spin magnetization is 0.000 μB/f.u. As for the energy: -4.81 eV per atom. The excess energy over the best structure of this formula in the dataset is 0 meV per atom. The density of states at the Fermi level comes out at 1.926 states/eV per atom. The value obtained for the energy relative to the elements is 0.014 eV per atom.

The structure belongs to space group P-1 (No. 2); the cell edges are 5.273, 6.447 and 8.333 Å and the angles 97.37°, 90.06° and 114.12°. The distinct sites, in fractional coordinates, are La at (0.214, 0.428, 0.142), Pr at (0.072, 0.145, 0.712), Pr at (0.357, 0.714, 0.572) and Pr at (0.500, 0.000, 0.000).



No. 12
The following is a GGA-PBE calculation of SrHoCuO3 after structural relaxation, from Alexandria via LeMat-Bulk.

The spin magnetization is 0.000 μB/f.u. As for the energy: -6.66 eV per atom. The density of states at the Fermi level comes out at 0.000 states/eV per atom. The formation energy from raw total energies is -2454 meV per atom.

The structure belongs to space group Cmcm (No. 63); the cell edges are 3.683, 12.805 and 8.326 Å and the angles 90.00°, 90.00° and 90.00°. The distinct sites, in fractional coordinates, are Sr at (0.000, 0.185, 0.250), Ho at (0.000, 0.500, 0.000), Cu at (0.000, 0.115, 0.750), O at (0.000, 0.113, 0.532) and O at (0.000, 0.435, 0.750).